## Tb4Ho2Mg (PBE-GGA)

Data for a geometry-optimized Tb4Ho2Mg structure.

## Properties
Energy of formation from the pure elements ... 0.10 eV per atom
Excess energy over the best structure of this formula in the dataset ... 0.0000 eV per atom
DOS(E_F) ... 19.5 states/eV/cell

Structure (CIF):
```
data_Tb4Ho2Mg
_chemical_formula_sum 'Tb8 Ho4 Mg2'
_cell_length_a 5.974
_cell_length_b 6.543
_cell_length_c 11.442
_cell_angle_alpha 90.00
_cell_angle_beta 105.13
_cell_angle_gamma 90.00
_symmetry_space_group_name_H-M 'P 1 21/m 1'
_symmetry_Int_Tables_number 11
loop_
_symmetry_equiv_pos_as_xyz
'x,y,z'
'-x,-y,-z'
'-x,y+1/2,-z'
'x,-y+1/2,z'
loop_
_atom_site_label
_atom_site_type_symbol
_atom_site_fract_x
_atom_site_fract_y
_atom_site_fract_z
Tb1 Tb 0.023 0.250 0.375
Tb2 Tb 0.151 0.250 0.941
Tb3 Tb 0.358 0.001 0.213
Ho1 Ho 0.277 0.750 0.923
Ho2 Ho 0.400 0.750 0.496
Mg1 Mg 0.149 0.250 0.665
```

## SiNiRh (PBE-GGA)

Data for a geometry-optimized SiNiRh structure.

## Properties
Energy relative to the elements, uncorrected ... -0.62 eV/atom
DOS(E_F) ... 3.2 states/eV/cell

Structure (CIF):
```
data_SiNiRh
_chemical_formula_sum 'Si4 Ni4 Rh4'
_cell_length_a 5.474
_cell_length_b 5.474
_cell_length_c 5.474
_cell_angle_alpha 90.00
_cell_angle_beta 90.00
_cell_angle_gamma 90.00
_symmetry_space_group_name_H-M 'F -4 3 m'
_symmetry_Int_Tables_number 216
_symmetry_space_group_name_Hall 'F -4 2 3'
loop_
_atom_site_label
_atom_site_type_symbol
_atom_site_fract_x
_atom_site_fract_y
_atom_site_fract_z
Si1 Si 0.000 0.000 0.000
Ni1 Ni 0.250 0.250 0.750
Rh1 Rh 0.250 0.250 0.250
```

## RbFeCoBi2 (PBE-GGA)

Data for a geometry-optimized RbFeCoBi2 structure.

## Properties
Energy of formation from the pure elements ... 2.47 eV per atom
DOS(E_F) ... 9.0 states/eV/cell

Structure (CIF):
```
data_RbFeCoBi2
_chemical_formula_sum 'Rb1 Fe1 Co1 Bi2'
_cell_length_a 6.032
_cell_length_b 6.032
_cell_length_c 4.588
_cell_angle_alpha 90.00
_cell_angle_beta 90.00
_cell_angle_gamma 90.00
_symmetry_space_group_name_H-M 'P 4/m m m'
_symmetry_Int_Tables_number 123
_symmetry_space_group_name_Hall '-P 4 2'
loop_
_atom_site_label
_atom_site_type_symbol
_atom_site_fract_x
_atom_site_fract_y
_atom_site_fract_z
Rb1 Rb 0.000 0.000 0.000
Fe1 Fe 0.000 0.000 0.500
Co1 Co 0.500 0.500 0.500
Bi1 Bi 0.000 0.500 0.000
```

## Ba2ScMoRh (PBE-GGA)

Data for a geometry-optimized Ba2ScMoRh structure.

## Properties
Energy of formation from the pure elements ... 0.80 eV per atom
DOS(E_F) ... 7.8 states/eV/cell

Structure (CIF):
```
data_Ba2ScMoRh
_chemical_formula_sum 'Ba2 Sc1 Mo1 Rh1'
_cell_length_a 6.087
_cell_length_b 6.087
_cell_length_c 4.807
_cell_angle_alpha 90.00
_cell_angle_beta 90.00
_cell_angle_gamma 90.00
_symmetry_space_group_name_H-M 'P 4/m m m'
_symmetry_Int_Tables_number 123
_symmetry_space_group_name_Hall '-P 4 2'
loop_
_atom_site_label
_atom_site_type_symbol
_atom_site_fract_x
_atom_site_fract_y
_atom_site_fract_z
Ba1 Ba 0.000 0.500 0.000
Sc1 Sc 0.000 0.000 0.500
Mo1 Mo 0.500 0.500 0.500
Rh1 Rh 0.500 0.500 0.000
```